Tl2CdTcW | meta-GGA SCAN | PBEsol geometry

Its formation energy is 1.708 eV/atom.

It has space group P4/mmm (No. 123), with a = 5.204 Å, b = 5.204 Å, c = 5.185 Å, α = 90.00°, β = 90.00° and γ = 90.00°. The inequivalent atoms are Tl at (0.000, 0.500, 0.000), Cd at (0.000, 0.000, 0.500), Tc at (0.500, 0.500, 0.500) and W at (0.000, 0.000, 0.000).